(1)
Below is SrSmSc after structural relaxation, with properties calculated at the GGA-PBE level.

Summary:
Energy relative to the lowest polymorph listed for this composition ... 173 meV/atom

CIF file:
```
data_SrSmSc
_cell_length_a 4.0927
_cell_length_b 4.0927
_cell_length_c 14.0348
_cell_angle_alpha 90.00
_cell_angle_beta 90.00
_cell_angle_gamma 90.00
_space_group_name_H-M_alt 'P 1'
_space_group_IT_number 1
_space_group_name_Hall 'P 1'
loop_
_atom_site_label
_atom_site_fract_x
_atom_site_fract_y
_atom_site_fract_z
Sr1 0.2500 0.2500 0.1123
Sr2 0.7500 0.7500 0.8877
Sm1 0.2500 0.2500 0.6948
Sm2 0.7500 0.7500 0.3052
Sc1 0.2500 0.7500 0.5000
Sc2 0.7500 0.2500 0.5000
```

(2)
Below is SrSm2Sc after structural relaxation, with properties calculated at the GGA-PBE level.

Summary:
Energy relative to the lowest polymorph listed for this composition ... 0 meV/atom

CIF file:
```
data_SrSm2Sc
_cell_length_a 3.9412
_cell_length_b 3.9412
_cell_length_c 9.2475
_cell_angle_alpha 90.00
_cell_angle_beta 90.00
_cell_angle_gamma 90.00
_space_group_name_H-M_alt 'P 1'
_space_group_IT_number 1
_space_group_name_Hall 'P 1'
loop_
_atom_site_label
_atom_site_fract_x
_atom_site_fract_y
_atom_site_fract_z
Sr1 0.0000 0.0000 0.0000
Sm1 0.5000 0.5000 0.3052
Sm2 0.5000 0.5000 0.6948
Sc1 0.0000 0.0000 0.5000
```

(3)
Below is TbSm4Sc after structural relaxation, with properties calculated at the GGA-PBE level.

CIF file:
```
data_TbSm4Sc
_cell_length_a 6.1476
_cell_length_b 6.1476
_cell_length_c 7.1304
_cell_angle_alpha 106.75
_cell_angle_beta 106.75
_cell_angle_gamma 48.19
_space_group_name_H-M_alt 'P 1'
_space_group_IT_number 1
_space_group_name_Hall 'P 1'
loop_
_atom_site_label
_atom_site_fract_x
_atom_site_fract_y
_atom_site_fract_z
Tb1 0.0000 0.0000 0.0000
Sm1 0.3329 0.3329 0.6644
Sm2 0.3370 0.3370 0.1706
Sm3 0.6630 0.6630 0.8294
Sm4 0.6671 0.6671 0.3356
Sc1 0.0000 0.0000 0.5000
```

(4)
Below is Tb4SmSc after structural relaxation, with properties calculated at the GGA-PBE level.

Summary:
Energy relative to the lowest polymorph listed for this composition ... 165 meV/atom

CIF file:
```
data_Tb4SmSc
_cell_length_a 5.9173
_cell_length_b 5.9173
_cell_length_c 11.3107
_cell_angle_alpha 117.83
_cell_angle_beta 117.83
_cell_angle_gamma 33.87
_space_group_name_H-M_alt 'P 1'
_space_group_IT_number 1
_space_group_name_Hall 'P 1'
loop_
_atom_site_label
_atom_site_fract_x
_atom_site_fract_y
_atom_site_fract_z
Tb1 0.1538 0.1538 0.3382
Tb2 0.3444 0.3444 0.1503
Tb3 0.6556 0.6556 0.8497
Tb4 0.8462 0.8462 0.6618
Sm1 0.5000 0.5000 0.5000
Sc1 0.0000 0.0000 0.0000
```

(5)
Below is Tb4Sm6Sc after structural relaxation, with properties calculated at the GGA-PBE level.

Summary:
Energy relative to the lowest polymorph listed for this composition ... 0 meV/atom

CIF file:
```
data_Tb4Sm6Sc
_cell_length_a 5.6037
_cell_length_b 5.6037
_cell_length_c 25.6342
_cell_angle_alpha 90.00
_cell_angle_beta 90.00
_cell_angle_gamma 117.80
_space_group_name_H-M_alt 'P 1'
_space_group_IT_number 1
_space_group_name_Hall 'P 1'
loop_
_atom_site_label
_atom_site_fract_x
_atom_site_fract_y
_atom_site_fract_z
Tb1 0.0451 0.9549 0.6229
Tb2 0.0451 0.9549 0.8771
Tb3 0.3510 0.6490 0.5444
Tb4 0.3510 0.6490 0.9556
Tb5 0.6490 0.3510 0.0444
Tb6 0.6490 0.3510 0.4556
Tb7 0.9549 0.0451 0.1229
Tb8 0.9549 0.0451 0.3771
Sm1 0.0000 0.0000 0.0000
Sm2 0.0000 0.0000 0.5000
Sm3 0.0462 0.9538 0.7500
Sm4 0.2979 0.7021 0.1061
Sm5 0.2979 0.7021 0.3939
Sm6 0.3762 0.6238 0.6835
Sm7 0.3762 0.6238 0.8165
Sm8 0.6238 0.3762 0.1835
Sm9 0.6238 0.3762 0.3165
Sm10 0.7021 0.2979 0.6061
Sm11 0.7021 0.2979 0.8939
Sm12 0.9538 0.0462 0.2500
Sc1 0.2910 0.7090 0.2500
Sc2 0.7090 0.2910 0.7500
```

(6)
Below is TbSmSc3 after structural relaxation, with properties calculated at the GGA-PBE level.

Summary:
Energy relative to the lowest polymorph listed for this composition ... 25 meV/atom

CIF file:
```
data_TbSmSc3
_cell_length_a 9.5996
_cell_length_b 9.5996
_cell_length_c 6.2727
_cell_angle_alpha 100.38
_cell_angle_beta 100.38
_cell_angle_gamma 81.85
_space_group_name_H-M_alt 'P 1'
_space_group_IT_number 1
_space_group_name_Hall 'P 1'
loop_
_atom_site_label
_atom_site_fract_x
_atom_site_fract_y
_atom_site_fract_z
Tb1 0.0796 0.9204 0.7500
Tb2 0.1853 0.8147 0.2500
Tb3 0.8147 0.1853 0.7500
Tb4 0.9204 0.0796 0.2500
Sm1 0.3196 0.4727 0.0462
Sm2 0.4727 0.3196 0.5462
Sm3 0.5273 0.6804 0.4538
Sm4 0.6804 0.5273 0.9538
Sc1 0.0188 0.3884 0.1552
Sc2 0.1209 0.2790 0.6461
Sc3 0.2040 0.5830 0.5526
Sc4 0.2790 0.1209 0.1461
Sc5 0.3884 0.0188 0.6552
Sc6 0.4170 0.7960 0.9474
Sc7 0.5830 0.2040 0.0526
Sc8 0.6116 0.9812 0.3448
Sc9 0.7210 0.8791 0.8539
Sc10 0.7960 0.4170 0.4474
Sc11 0.8791 0.7210 0.3539
Sc12 0.9812 0.6116 0.8448
```

(7)
Below is Tb5Sm2Sc after structural relaxation, with properties calculated at the GGA-PBE level.

Summary:
Energy relative to the lowest polymorph listed for this composition ... 0 meV/atom

CIF file:
```
data_Tb5Sm2Sc
_cell_length_a 7.0854
_cell_length_b 14.1866
_cell_length_c 4.9935
_cell_angle_alpha 90.00
_cell_angle_beta 90.00
_cell_angle_gamma 90.00
_space_group_name_H-M_alt 'P 1'
_space_group_IT_number 1
_space_group_name_Hall 'P 1'
loop_
_atom_site_label
_atom_site_fract_x
_atom_site_fract_y
_atom_site_fract_z
Tb1 0.0000 0.0000 0.0000
Tb2 0.0017 0.2522 0.0000
Tb3 0.2501 0.3764 0.5000
Tb4 0.2499 0.8764 0.5000
Tb5 0.4983 0.7522 0.0000
Tb6 0.5000 0.5000 0.0000
Tb7 0.5017 0.2478 0.0000
Tb8 0.7501 0.1236 0.5000
Tb9 0.7499 0.6236 0.5000
Tb10 0.9983 0.7478 0.0000
Sm1 0.2471 0.6234 0.5000
Sm2 0.2529 0.1234 0.5000
Sm3 0.7471 0.8766 0.5000
Sm4 0.7529 0.3766 0.5000
Sc1 0.0000 0.5000 0.0000
Sc2 0.5000 0.0000 0.0000
```

(8)
Below is Tb2SmSc7 after structural relaxation, with properties calculated at the GGA-PBE level.

CIF file:
```
data_Tb2SmSc7
_cell_length_a 13.9672
_cell_length_b 13.9672
_cell_length_c 3.3289
_cell_angle_alpha 90.00
_cell_angle_beta 90.00
_cell_angle_gamma 154.94
_space_group_name_H-M_alt 'P 1'
_space_group_IT_number 1
_space_group_name_Hall 'P 1'
loop_
_atom_site_label
_atom_site_fract_x
_atom_site_fract_y
_atom_site_fract_z
Tb1 0.2107 0.7893 0.0000
Tb2 0.7893 0.2107 0.0000
Sm1 0.5000 0.5000 0.5000
Sc1 0.0000 0.0000 0.0000
Sc2 0.1530 0.3519 0.0000
Sc3 0.3178 0.6822 0.5000
Sc4 0.3519 0.1530 0.0000
Sc5 0.6481 0.8470 0.0000
Sc6 0.6822 0.3178 0.5000
Sc7 0.8470 0.6481 0.0000
```

(9)
Below is Tb2Sm2Sc5 after structural relaxation, with properties calculated at the GGA-PBE level.

CIF file:
```
data_Tb2Sm2Sc5
_cell_length_a 8.9139
_cell_length_b 8.9139
_cell_length_c 8.9139
_cell_angle_alpha 97.65
_cell_angle_beta 123.67
_cell_angle_gamma 108.21
_space_group_name_H-M_alt 'P 1'
_space_group_IT_number 1
_space_group_name_Hall 'P 1'
loop_
_atom_site_label
_atom_site_fract_x
_atom_site_fract_y
_atom_site_fract_z
Tb1 0.1256 0.1048 0.2304
Tb2 0.1256 0.3952 0.5209
Tb3 0.8744 0.6048 0.4791
Tb4 0.8744 0.8952 0.7696
Sm1 0.5718 0.0718 0.5000
Sm2 0.5718 0.5718 0.0000
Sm3 0.5835 0.4363 0.6472
Sm4 0.7890 0.9363 0.3528
Sc1 0.0124 0.4155 0.8000
Sc2 0.0124 0.7125 0.0969
Sc3 0.2417 0.1805 0.8108
Sc4 0.2417 0.9309 0.5612
Sc5 0.2819 0.8239 0.9581
Sc6 0.3697 0.4309 0.1892
Sc7 0.3697 0.6805 0.4388
Sc8 0.6156 0.2125 0.2000
Sc9 0.6156 0.9155 0.9031
Sc10 0.8658 0.3239 0.0419
```

(10)
Below is Tb3SmSc2 after structural relaxation, with properties calculated at the GGA-PBE level.

Summary:
Energy relative to the lowest polymorph listed for this composition ... 0 meV/atom

CIF file:
```
data_Tb3SmSc2
_cell_length_a 8.7809
_cell_length_b 8.7809
_cell_length_c 13.9267
_cell_angle_alpha 116.82
_cell_angle_beta 116.82
_cell_angle_gamma 22.42
_space_group_name_H-M_alt 'P 1'
_space_group_IT_number 1
_space_group_name_Hall 'P 1'
loop_
_atom_site_label
_atom_site_fract_x
_atom_site_fract_y
_atom_site_fract_z
Tb1 0.0381 0.0381 0.2127
Tb2 0.2557 0.2557 0.6983
Tb3 0.3947 0.3947 0.9719
Tb4 0.6053 0.6053 0.0281
Tb5 0.7443 0.7443 0.3017
Tb6 0.9619 0.9619 0.7873
Sm1 0.4390 0.4390 0.3536
Sm2 0.5610 0.5610 0.6464
Sc1 0.1834 0.1834 0.8846
Sc2 0.3403 0.3403 0.5333
Sc3 0.6597 0.6597 0.4667
Sc4 0.8166 0.8166 0.1154
```

(11)
Below is TbSmSc2 after structural relaxation, with properties calculated at the GGA-PBE level.

Summary:
Energy relative to the lowest polymorph listed for this composition ... 2 meV/atom

CIF file:
```
data_TbSmSc2
_cell_length_a 4.9423
_cell_length_b 4.9423
_cell_length_c 4.6450
_cell_angle_alpha 90.00
_cell_angle_beta 90.00
_cell_angle_gamma 90.00
_space_group_name_H-M_alt 'P 1'
_space_group_IT_number 1
_space_group_name_Hall 'P 1'
loop_
_atom_site_label
_atom_site_fract_x
_atom_site_fract_y
_atom_site_fract_z
Tb1 0.0000 0.0000 0.0000
Sm1 0.5000 0.5000 0.0000
Sc1 0.0000 0.5000 0.5000
Sc2 0.5000 0.0000 0.5000
```

(12)
Below is TbSm2Sc4 after structural relaxation, with properties calculated at the GGA-PBE level.

Summary:
Energy relative to the lowest polymorph listed for this composition ... 85 meV/atom

CIF file:
```
data_TbSm2Sc4
_cell_length_a 6.5027
_cell_length_b 6.5027
_cell_length_c 6.5027
_cell_angle_alpha 103.59
_cell_angle_beta 103.59
_cell_angle_gamma 122.00
_space_group_name_H-M_alt 'P 1'
_space_group_IT_number 1
_space_group_name_Hall 'P 1'
loop_
_atom_site_label
_atom_site_fract_x
_atom_site_fract_y
_atom_site_fract_z
Tb1 0.0000 0.0000 0.0000
Sm1 0.2500 0.7500 0.5000
Sm2 0.7500 0.2500 0.5000
Sc1 0.3071 0.3071 0.6143
Sc2 0.3071 0.6929 0.0000
Sc3 0.6929 0.3071 0.0000
Sc4 0.6929 0.6929 0.3857
```

| no. | energy of formation (eV/atom) |
| --- | --- |
| 1 | 0.355 |
| 2 | 0.100 |
| 3 | 0.034 |
| 4 | 0.200 |
| 5 | 0.132 |
| 6 | 0.061 |
| 7 | 0.030 |
| 8 | 0.160 |
| 9 | 0.199 |
| 10 | 0.136 |
| 11 | 0.052 |
| 12 | 0.263 |